The following is a DFT calculation (GGA-PBE) of BMo2P after structural relaxation.

a b c (Å): 5.0125 3.2230 6.6829
angles (deg): 90.00 108.20 90.00
Closest atoms and distances in Å follow each position.
Fractional coordinates of all 8 atoms:
B  0.2181  0.2500  0.1823  5 Mo 2.18
B  0.7819  0.7500  0.8177  5 Mo 2.18
Mo  0.2029  0.7500  0.3977  2 B 2.18
Mo  0.2368  0.7500  0.9665  3 B 2.18
Mo  0.7632  0.2500  0.0335  3 B 2.18
Mo  0.7971  0.2500  0.6023  2 B 2.18
P  0.3411  0.2500  0.7034  7 Mo 2.52-2.60, 2 B 2.65
P  0.6589  0.7500  0.2966  7 Mo 2.52-2.60, 2 B 2.65

Computed properties:
Crystal system: monoclinic
Relative energy among the computed polymorphs (meV/atom): 0
D(E_F) (states/eV/cell): 5.4
Total magnetic moment (μB per formula unit): 0.00
Space-group type: No. 11
DFT formation energy (eV per atom): -0.245
V (Å³/cell): 102.6